This record from Alexandria via LeMat-Bulk describes crystalline CdCoF at its relaxed geometry. The functional is PBE+U.

The calculation puts the total magnetization at 1.974 μB/f.u. For the density of states at the Fermi level, the calculation gives 0.115 states/eV/atom. Its distance to the lowest polymorph of the same formula is 0.045 eV/atom.

Structure (CIF):
```
data_CdCoF
_chemical_formula_sum 'Cd2 Co2 F2'
_symmetry_space_group_name_H-M 'P 1'
_symmetry_Int_Tables_number 1
_symmetry_space_group_name_Hall 'P 1'
_cell_length_a 3.0906
_cell_length_b 5.2953
_cell_length_c 5.8387
_cell_angle_alpha 88.57
_cell_angle_beta 89.29
_cell_angle_gamma 88.88
loop_
_atom_site_label
_atom_site_fract_x
_atom_site_fract_y
_atom_site_fract_z
_atom_site_occupancy
Cd1 0.0000 0.0000 0.0000 1
Cd2 0.0143 0.3825 0.3774 1
Co1 0.5025 0.8199 0.3714 1
Co2 0.5109 0.5514 0.0222 1
F1 0.5011 0.5083 0.6888 1
F2 0.9964 0.0001 0.5789 1
```